A relaxed structure of Cs2K2Na. Source: the Alexandria database, functional GGA-PBE.

Unit cell a=10.3917 b=10.3917 c=7.6456 alpha=90.00 beta=90.00 gamma=90.00
Sites, in units of the cell vectors:
Cs 0.8211 0.3211 0.5000
Cs 0.6789 0.8211 0.5000
K 0.1449 0.3551 0.0000
Cs 0.1789 0.6789 0.5000
Na 0.0000 0.0000 0.0000
K 0.6449 0.1449 0.0000
K 0.8551 0.6449 0.0000
Na 0.5000 0.5000 0.0000
Cs 0.3211 0.1789 0.5000
K 0.3551 0.8551 0.0000

The calculation puts the energy of formation at 0.043 eV/atom. For the energy above the most stable polymorph in this dataset, the calculation gives 0.0297 eV/atom. The theoretical density is 1476 kg/m3. The density of states at the Fermi level is 4.1 states/eV/f.u.

A relaxed structure of Cs6KNa2. Source: the Alexandria database, functional GGA-PBE.

Unit cell a=9.7380 b=9.7380 c=17.0713 alpha=73.89 beta=73.89 gamma=31.44
Sites, in units of the cell vectors:
Na 0.3502 0.3502 0.1668
Cs 0.3317 0.3317 0.8871
K 0.0000 0.0000 0.0000
Cs 0.3149 0.3149 0.6058
Cs 0.9573 0.9573 0.3257
Cs 0.6683 0.6683 0.1129
Cs 0.6851 0.6851 0.3942
Na 0.6498 0.6498 0.8332
Cs 0.0427 0.0427 0.6743

The calculation puts the energy of formation at 0.028 eV/atom. For the energy above the most stable polymorph in this dataset, the calculation gives 0.0098 eV/atom. The theoretical density is 1812 kg/m3. The density of states at the Fermi level is 9.3 states/eV/f.u.

A relaxed structure of Cs4K5Na3. Source: the Alexandria database, functional GGA-PBE.

Unit cell a=7.9169 b=15.3935 c=9.2321 alpha=67.17 beta=64.61 gamma=75.10
Sites, in units of the cell vectors:
K 0.3579 0.0266 0.2577
Cs 0.9377 0.8194 0.3053
Cs 0.2391 0.7609 0.7609
Na 0.4603 0.2425 0.8368
K 0.5000 0.5000 0.5000
Cs 0.7609 0.2391 0.2391
K 0.6421 0.9734 0.7423
K 0.2402 0.4272 0.0925
Na 0.0000 0.5000 0.5000
Cs 0.0623 0.1806 0.6947
K 0.7598 0.5728 0.9075
Na 0.5397 0.7575 0.1632

The calculation puts the energy of formation at 0.045 eV/atom. For the energy above the most stable polymorph in this dataset, the calculation gives 0.0000 eV/atom. The theoretical density is 1420 kg/m3. The density of states at the Fermi level is 10.0 states/eV/f.u.

A relaxed structure of CsK2Na4. Source: the Alexandria database, functional GGA-PBE.

Unit cell a=9.9921 b=9.9922 c=8.1192 alpha=128.17 beta=128.18 gamma=89.59
Sites, in units of the cell vectors:
Cs 0.0000 0.0000 0.0000
Na 0.3176 0.3176 0.9993
K 0.7501 0.2497 0.5000
Na 0.3171 0.6826 0.9996
K 0.2499 0.7503 0.5000
Na 0.6830 0.3174 0.0004
Na 0.6824 0.6824 0.0007

The calculation puts the energy of formation at 0.034 eV/atom. The theoretical density is 1263 kg/m3. The density of states at the Fermi level is 4.1 states/eV/f.u.

A relaxed structure of Cs2KNa7. Source: the Alexandria database, functional GGA-PBE.

Unit cell a=14.3836 b=14.3836 c=4.3764 alpha=90.00 beta=90.00 gamma=142.48
Sites, in units of the cell vectors:
Na 0.3943 0.6057 0.0000
Na 0.6899 0.9120 0.5000
Cs 0.7467 0.2533 0.5000
Na 0.3101 0.0880 0.5000
Cs 0.2533 0.7467 0.5000
K 0.0000 0.0000 0.0000
Na 0.0880 0.3101 0.5000
Na 0.5000 0.5000 0.5000
Na 0.9120 0.6899 0.5000
Na 0.6057 0.3943 0.0000

The calculation puts the energy of formation at 0.082 eV/atom. The theoretical density is 1403 kg/m3. The density of states at the Fermi level is 7.2 states/eV/f.u.

A relaxed structure of CsK8Na3. Source: the Alexandria database, functional GGA-PBE.

Unit cell a=4.7266 b=11.7277 c=14.8168 alpha=82.14 beta=99.18 gamma=90.00
Sites, in units of the cell vectors:
Na 0.7959 0.1595 0.5917
K 0.3976 0.9600 0.7951
Na 0.6501 0.6773 0.3002
K 0.0308 0.7936 0.0615
K 0.7859 0.5341 0.5718
K 0.5607 0.4452 0.1214
Na 0.3561 0.3009 0.7122
K 0.1923 0.3317 0.3845
K 0.6023 0.0623 0.2047
K 0.4163 0.5894 0.8326
K 0.9691 0.2249 0.9381
Cs 0.2414 0.8907 0.4828

The calculation puts the energy of formation at 0.031 eV/atom. The theoretical density is 1064 kg/m3. The density of states at the Fermi level is 10.2 states/eV/f.u.

A relaxed structure of Cs3K6Na5. Source: the Alexandria database, functional GGA-PBE.

Unit cell a=6.6285 b=14.7781 c=19.3529 alpha=90.00 beta=90.00 gamma=90.00
Sites, in units of the cell vectors:
K 0.5000 0.0236 0.3425
Na 0.0000 0.5590 0.1084
Na 0.5000 0.4410 0.6084
Na 0.5000 0.2306 0.5000
Na 0.5000 0.4410 0.3916
Cs 0.0000 0.2485 0.7063
K 0.0000 0.5825 0.3209
Na 0.0000 0.8550 0.3558
Na 0.0000 0.8550 0.6442
Cs 0.0000 0.2485 0.2937
K 0.5000 0.9466 0.0000
Cs 0.5000 0.7515 0.7937
Cs 0.0000 0.2705 0.0000
K 0.5000 0.5996 0.0000
Na 0.5000 0.1450 0.8558
Cs 0.5000 0.7515 0.2063
K 0.5000 0.0236 0.6575
Na 0.5000 0.1450 0.1442
K 0.5000 0.4175 0.1791
Na 0.0000 0.5590 0.8916
K 0.0000 0.9764 0.8425
K 0.0000 0.9764 0.1575
K 0.0000 0.5825 0.6791
K 0.0000 0.0534 0.5000
K 0.0000 0.4004 0.5000
Na 0.0000 0.7694 0.0000
Cs 0.5000 0.7295 0.5000
K 0.5000 0.4175 0.8209

The calculation puts the energy of formation at 0.026 eV/atom. The theoretical density is 1311 kg/m3. The density of states at the Fermi level is 10.3 states/eV/f.u.

A relaxed structure of Cs12KNa6. Source: the Alexandria database, functional GGA-PBE.

Unit cell a=12.9028 b=12.9028 c=12.9028 alpha=109.47 beta=109.47 gamma=109.47
Sites, in units of the cell vectors:
Cs 0.4800 0.1895 0.2906
Na 0.6178 0.5000 0.1178
Cs 0.7094 0.8989 0.1895
Cs 0.1011 0.8105 0.2906
Cs 0.8105 0.2906 0.1011
Cs 0.8105 0.7094 0.5200
Cs 0.7094 0.5200 0.8105
Na 0.3822 0.5000 0.8822
Cs 0.5200 0.8105 0.7094
Cs 0.1895 0.7094 0.8989
Na 0.5000 0.1178 0.6178
Cs 0.1895 0.2906 0.4800
Cs 0.2906 0.4800 0.1895
Na 0.5000 0.8822 0.3822
Cs 0.2906 0.1011 0.8105
K 0.0000 0.0000 0.0000
Na 0.1178 0.6178 0.5000
Cs 0.8989 0.1895 0.7094
Na 0.8822 0.3822 0.5000

The calculation puts the energy of formation at 0.025 eV/atom. The theoretical density is 1779 kg/m3. The density of states at the Fermi level is 17.7 states/eV/f.u.

A relaxed structure of Cs4K2Na3. Source: the Alexandria database, functional GGA-PBE.

Unit cell a=4.9893 b=11.6000 c=12.9263 alpha=108.23 beta=101.13 gamma=90.00
Sites, in units of the cell vectors:
Cs 0.7390 0.2171 0.4781
K 0.6175 0.4492 0.2349
Cs 0.5731 0.8348 0.1462
Na 0.0000 0.5000 0.0000
Cs 0.4269 0.1652 0.8538
Na 0.9319 0.8525 0.8639
Na 0.0681 0.1475 0.1361
K 0.3825 0.5508 0.7651
Cs 0.2610 0.7829 0.5219

The calculation puts the energy of formation at 0.031 eV/atom. The theoretical density is 1620 kg/m3. The density of states at the Fermi level is 8.0 states/eV/f.u.

A relaxed structure of CsK2Na16. Source: the Alexandria database, functional GGA-PBE.

Unit cell a=9.5095 b=9.5095 c=9.5095 alpha=83.14 beta=83.14 gamma=83.14
Sites, in units of the cell vectors:
Na 0.1871 0.6403 0.6403
Na 0.3440 0.3440 0.8500
Na 0.0021 0.3163 0.6926
K 0.6375 0.6375 0.6375
Na 0.6403 0.6403 0.1871
Na 0.8500 0.3440 0.3440
Na 0.4758 0.0170 0.0170
Na 0.6403 0.1871 0.6403
Na 0.3440 0.8500 0.3440
Na 0.0170 0.0170 0.4758
Na 0.6926 0.3163 0.0021
Na 0.3163 0.0021 0.6926
Cs 0.8855 0.8855 0.8855
Na 0.0021 0.6926 0.3163
K 0.3370 0.3370 0.3370
Na 0.6926 0.0021 0.3163
Na 0.1027 0.1027 0.1027
Na 0.0170 0.4758 0.0170
Na 0.3163 0.6926 0.0021

The calculation puts the energy of formation at 0.028 eV/atom. The theoretical density is 1141 kg/m3. The density of states at the Fermi level is 10.0 states/eV/f.u.